DFT (PBE+U) results for a relaxed CeFe2GeO6 crystal.

Structure (POSCAR):
```
CeFe2GeO6
1.0
-4.7314 1.5822 -1.7769
-1.1145 -5.3314 -1.7795
1.4018 1.0046 5.3373
Ce Fe Ge O
1 2 1 6
Direct
0.0000 0.5000 0.0000
0.2014 0.2422 0.4843
0.7986 0.7578 0.5157
0.5000 0.0000 0.0000
0.4394 0.7733 0.5465
0.1895 0.1472 0.8313
0.8105 0.3159 0.1687
0.1895 0.6841 0.8313
0.8105 0.8528 0.1687
0.5606 0.2267 0.4535
```

Values from the calculation:
- ρ: 5.8 g cm⁻³
- Electronic total energy: -7.09 eV per atom
- Spin magnetization: 7.963 μB per cell
- Crystal system: monoclinic
- Space group: No. 12